1.
First-principles (GGA-PBE) data for an optimized crystal structure of Th3UPd12, as listed in the Alexandria database.

Geometry as POSCAR:
```
Th3UPd12
1.0
4.2080 0.0000 0.0000
0.0000 4.2080 0.0000
0.0000 0.0000 16.8246
Th U Pd
3 1 12
Cartesian
0.0000 0.0000 4.1638
0.0000 0.0000 8.4123
0.0000 0.0000 12.6608
0.0000 0.0000 0.0000
2.1040 2.1040 0.0000
2.1040 2.1040 4.2057
2.1040 2.1040 8.4123
2.1040 2.1040 12.6189
2.1040 0.0000 2.0916
2.1040 0.0000 6.3039
2.1040 0.0000 10.5207
2.1040 0.0000 14.7330
0.0000 2.1040 2.0916
0.0000 2.1040 6.3039
0.0000 2.1040 10.5207
0.0000 2.1040 14.7330
```

Summary:
- Total magnetization: 0.155 μB per atom
- Density: 12.3 g/cm3
- Energy of formation: -0.8102 eV/atom
- E_tot: -6.80 eV per atom
- SG: No. 123
- Volume: 18.62 A^3/atom

=====

2.
First-principles (GGA-PBE) data for an optimized crystal structure of ThUPd14, as listed in the Alexandria database.

Geometry as POSCAR:
```
ThUPd14
1.0
5.8699 -0.0124 0.0000
0.0125 5.8699 0.0000
0.0000 0.0000 7.7895
Th U Pd
1 1 14
Cartesian
2.2059 2.1966 3.8947
5.1471 5.1252 3.8947
5.1471 5.1253 0.0000
2.2059 2.1965 0.0000
5.1408 2.1904 3.8947
5.1409 2.1903 0.0000
2.2122 5.1315 3.8947
2.2121 5.1315 0.0000
3.7054 0.6907 1.9177
3.7054 0.6907 5.8718
0.7065 3.7024 1.9177
0.7065 3.7024 5.8718
3.7114 3.6956 1.9180
3.7114 3.6956 5.8715
0.7004 0.6975 1.9181
0.7004 0.6975 5.8714
```

Summary:
- Total magnetization: 0.035 μB per atom
- Density: 12.1 g/cm3
- Energy of formation: -0.4112 eV/atom
- E_tot: -6.12 eV per atom
- SG: No. 123
- Volume: 16.77 A^3/atom

=====

3.
First-principles (GGA-PBE) data for an optimized crystal structure of Th4UPd15, as listed in the Alexandria database.

Geometry as POSCAR:
```
Th4UPd15
1.0
4.2074 0.0000 0.0000
0.0000 4.2074 0.0000
0.0000 0.0000 21.0787
Th U Pd
4 1 15
Cartesian
0.0000 0.0000 4.1671
0.0000 0.0000 8.4168
0.0000 0.0000 12.6619
0.0000 0.0000 16.9115
0.0000 0.0000 0.0000
2.1037 2.1037 0.0000
2.1037 2.1037 4.2151
2.1037 2.1037 8.4297
2.1037 2.1037 12.6489
2.1037 2.1037 16.8636
2.1037 0.0000 2.0962
2.1037 0.0000 6.3145
2.1037 0.0000 10.5393
2.1037 0.0000 14.7641
2.1037 0.0000 18.9825
0.0000 2.1037 2.0962
0.0000 2.1037 6.3145
0.0000 2.1037 10.5393
0.0000 2.1037 14.7641
0.0000 2.1037 18.9825
```

Summary:
- Total magnetization: 0.124 μB per atom
- Density: 12.3 g/cm3
- Energy of formation: -0.8291 eV/atom
- E_tot: -6.77 eV per atom
- SG: No. 123
- Volume: 18.66 A^3/atom

=====

4.
First-principles (GGA-PBE) data for an optimized crystal structure of Th2UPd9, as listed in the Alexandria database.

Geometry as POSCAR:
```
Th2UPd9
1.0
-1.3614 2.0751 3.3905
-3.5588 -2.2329 -0.0623
5.3146 -8.6784 7.4453
Th U Pd
2 1 9
Cartesian
1.7593 -2.8727 2.4645
3.5554 -5.8057 4.9807
0.0000 0.0000 0.0000
-2.4601 -0.0789 1.6641
-0.6877 -2.9730 4.1470
1.0822 -5.8632 6.6265
0.2006 -0.4015 2.9298
1.9766 -3.3017 5.4179
3.7527 -6.2019 7.9060
-0.8982 -2.5555 1.2034
0.8779 -5.4557 3.6915
2.6540 -8.3558 6.1796
```

Summary:
- Total magnetization: 0.200 μB per atom
- Density: 12.4 g/cm3
- Energy of formation: -0.7760 eV/atom
- E_tot: -6.85 eV per atom
- SG: No. 123
- Volume: 18.55 A^3/atom

=====

5.
First-principles (GGA-PBE) data for an optimized crystal structure of Th2VPd, as listed in the Alexandria database.

Geometry as POSCAR:
```
Th2VPd
1.0
-0.6360 -0.2283 -3.2362
-0.0285 -2.9588 -1.4743
-10.2550 -1.9806 0.4664
Pd Th V
1 2 1
Cartesian
-5.4597 -2.5838 -2.1221
-7.5979 -1.7374 -0.0730
-3.3215 -3.4303 -4.1712
0.0000 0.0000 0.0000
```

Summary:
- Total magnetization: 0.570 μB per atom
- Density: 10.6 g/cm3
- Energy of formation: 0.4117 eV/atom
- E_tot: -6.88 eV per atom
- SG: No. 166
- Volume: 24.32 A^3/atom

=====

6.
First-principles (GGA-PBE) data for an optimized crystal structure of YThPd, as listed in the Alexandria database.

Geometry as POSCAR:
```
YThPd
1.0
-2.0818 1.3007 2.7063
2.5646 -0.9426 2.4257
2.2868 5.1336 -3.1746
Y Pd Th
1 1 1
Cartesian
1.5946 3.3508 -0.3839
1.0564 1.8917 2.3698
0.1186 0.2492 -0.0285
```

Summary:
- Total magnetization: 0.000 μB per atom
- Energy above the most stable polymorph in this dataset: 7.1 kJ/mol of formula units
- Density: 9.0 g/cm3
- Energy of formation: -0.4618 eV/atom
- E_tot: -6.82 eV per atom
- SG: No. 107
- Volume: 26.32 A^3/atom

=====

7.
First-principles (GGA-PBE) data for an optimized crystal structure of YThPd4, as listed in the Alexandria database.

Geometry as POSCAR:
```
YThPd4
1.0
5.5018 0.0000 0.0000
2.7509 4.7647 0.0000
2.7509 1.5882 4.4922
Y Pd Th
1 4 1
Cartesian
2.7509 1.5882 1.1230
5.5018 3.1764 0.5657
5.5018 1.5922 2.8062
6.8738 3.9686 2.8062
4.1298 3.9686 2.8062
0.0000 0.0000 0.0000
```

Summary:
- Total magnetization: 0.000 μB per atom
- Energy above the most stable polymorph in this dataset: 88.6 kJ/mol of formula units
- Density: 10.5 g/cm3
- Energy of formation: -0.7420 eV/atom
- E_tot: -6.52 eV per atom
- SG: No. 216
- Volume: 19.63 A^3/atom

=====

8.
First-principles (GGA-PBE) data for an optimized crystal structure of YTh2Pd, as listed in the Alexandria database.

Geometry as POSCAR:
```
YTh2Pd
1.0
-1.5322 3.3363 0.6448
0.5549 -2.8776 5.4373
9.4352 4.0998 1.2068
Y Th Pd
2 4 2
Cartesian
1.4155 1.6821 5.4442
7.0425 2.8764 1.8447
5.0393 1.3737 4.8727
3.4187 3.1848 2.4162
8.8045 3.0097 5.3542
-0.3465 1.5488 1.9347
6.1914 4.0598 4.4782
2.2666 0.4987 2.8106
```

Summary:
- Total magnetization: 0.000 μB per atom
- Energy above the most stable polymorph in this dataset: 0.0 kJ/mol of formula units
- Density: 9.6 g/cm3
- Energy of formation: -0.3935 eV/atom
- E_tot: -7.02 eV per atom
- SG: No. 63
- Volume: 28.42 A^3/atom

=====

9.
First-principles (GGA-PBE) data for an optimized crystal structure of YTh2Pd, as listed in the Alexandria database.

Geometry as POSCAR:
```
YTh2Pd
1.0
3.7305 0.0000 0.0000
1.8653 3.2307 0.0000
1.8653 1.0769 9.7852
Y Pd Th
1 1 2
Cartesian
3.7305 2.1538 4.8926
0.0000 0.0000 0.0000
1.8653 1.0769 2.0474
5.5958 3.2307 7.7378
```

Summary:
- Total magnetization: 0.000 μB per atom
- Energy above the most stable polymorph in this dataset: 70.6 kJ/mol of formula units
- Density: 9.3 g/cm3
- Energy of formation: -0.2105 eV/atom
- E_tot: -6.83 eV per atom
- SG: No. 166
- Volume: 29.48 A^3/atom

=====

10.
First-principles (GGA-PBE) data for an optimized crystal structure of YThPd, as listed in the Alexandria database.

Geometry as POSCAR:
```
YThPd
1.0
4.9654 -0.0124 0.0040
0.0133 5.2996 -0.1420
-0.0089 -1.8922 6.0852
Y Th Pd
2 2 2
Cartesian
3.7403 2.6692 1.3935
1.2518 0.7606 4.5722
3.7403 3.3730 4.8848
1.2516 0.0569 1.0810
3.7332 0.0452 2.7923
1.2592 3.3846 3.1734
```

Summary:
- Total magnetization: 0.000 μB per atom
- Energy above the most stable polymorph in this dataset: 0.0 kJ/mol of formula units
- Density: 8.9 g/cm3
- Energy of formation: -0.4864 eV/atom
- E_tot: -6.85 eV per atom
- SG: No. 11
- Volume: 26.47 A^3/atom

=====

11.
First-principles (GGA-PBE) data for an optimized crystal structure of YTh2Pd9, as listed in the Alexandria database.

Geometry as POSCAR:
```
YTh2Pd9
1.0
4.1937 0.0000 0.0000
0.0000 4.1937 0.0000
0.0000 0.0000 12.5459
Y Th Pd
1 2 9
Cartesian
0.0000 0.0000 0.0000
0.0000 0.0000 4.1235
0.0000 0.0000 8.4225
2.0969 2.0969 0.0000
2.0969 2.0969 4.1817
2.0969 2.0969 8.3642
2.0969 0.0000 2.0773
2.0969 0.0000 6.2730
2.0969 0.0000 10.4686
0.0000 2.0969 2.0773
0.0000 2.0969 6.2730
0.0000 2.0969 10.4686
```

Summary:
- Total magnetization: 0.000 μB per atom
- Density: 11.4 g/cm3
- Energy of formation: -0.9448 eV/atom
- E_tot: -6.61 eV per atom
- SG: No. 123
- Volume: 18.39 A^3/atom

=====

12.
First-principles (GGA-PBE) data for an optimized crystal structure of YTh3Pd12, as listed in the Alexandria database.

Geometry as POSCAR:
```
YTh3Pd12
1.0
-2.2819 -3.1720 -1.5269
0.3517 -2.0159 3.6623
-14.0364 7.4695 5.4595
Y Th Pd
1 3 12
Cartesian
0.0000 0.0000 0.0000
-3.4390 1.8300 1.3376
-7.0182 3.7347 2.7298
-10.5974 5.6394 4.1219
-0.9651 -2.5940 1.0677
-4.4723 -0.7276 2.4319
-7.9833 1.1408 3.7975
-11.4943 3.0091 5.1631
-2.8797 -0.6607 -0.0871
-6.3952 1.2100 1.2802
-9.9230 3.0874 2.6524
-13.4385 4.9582 4.0198
-1.5629 -0.0827 2.5075
-5.0784 1.7881 3.8748
-8.6062 3.6654 5.2470
-12.1217 5.5362 6.6144
```

Summary:
- Total magnetization: 0.000 μB per atom
- Density: 11.6 g/cm3
- Energy of formation: -0.9394 eV/atom
- E_tot: -6.63 eV per atom
- SG: No. 123
- Volume: 18.49 A^3/atom

=====

13.
First-principles (GGA-PBE) data for an optimized crystal structure of YThPd, as listed in the Alexandria database.

Geometry as POSCAR:
```
YThPd
1.0
-1.7060 -1.2087 3.2120
-4.2341 -3.0644 -3.4012
4.5724 -5.5288 0.3448
Pd Th Y
2 2 2
Cartesian
-0.6924 -2.3987 -0.1139
-1.3825 -7.9419 -0.2831
1.5076 -7.0297 1.5953
-3.4553 -3.1788 -1.8748
0.3298 -3.7007 2.2250
-0.4251 -5.2707 -1.0554
```

Summary:
- Total magnetization: 0.000 μB per atom
- Energy above the most stable polymorph in this dataset: 32.5 kJ/mol of formula units
- Density: 8.3 g/cm3
- Energy of formation: -0.3739 eV/atom
- E_tot: -6.73 eV per atom
- SG: No. 6
- Volume: 28.52 A^3/atom

=====

14.
First-principles (GGA-PBE) data for an optimized crystal structure of Y2ThPd7, as listed in the Alexandria database.

Geometry as POSCAR:
```
Y2ThPd7
1.0
4.9208 0.9371 -1.1340
0.7543 4.9521 -1.1340
-1.2620 -1.3096 9.3222
Y Th Pd
2 1 7
Cartesian
3.3839 3.5116 1.7055
1.0292 1.0680 5.3488
0.0000 0.0000 0.0000
0.6448 2.7538 0.8239
1.6851 3.8333 6.2304
2.7280 0.7463 0.8239
2.8375 2.9446 -1.1340
3.2482 1.2861 3.5271
3.7683 1.8259 6.2304
1.1649 3.2935 3.5271
```

Summary:
- Total magnetization: 0.000 μB per atom
- Density: 9.2 g/cm3
- Energy of formation: -0.7049 eV/atom
- E_tot: -6.37 eV per atom
- SG: No. 69
- Volume: 20.86 A^3/atom

=====

15.
First-principles (GGA-PBE) data for an optimized crystal structure of Y4ThPd15, as listed in the Alexandria database.

Geometry as POSCAR:
```
Y4ThPd15
1.0
-2.1372 3.0075 -1.9077
-2.4553 -2.8558 -1.7516
-12.8707 1.1294 16.1999
Y Th Pd
4 1 15
Cartesian
-2.6081 0.2289 3.2828
-5.1523 0.4521 6.4851
-7.7183 0.6773 9.7148
-10.2625 0.9005 12.9172
0.0000 0.0000 0.0000
-2.2963 0.0758 -1.8296
-4.8862 0.3031 1.4303
-7.4527 0.5283 4.6606
-10.0105 0.7527 7.8800
-12.5769 0.9779 11.1104
-2.3682 1.6178 0.6819
-4.9418 1.8436 3.9212
-7.5040 2.0684 7.1461
-10.0661 2.2933 10.3710
-12.6397 2.5191 13.6103
-2.5272 -1.3139 0.7600
-5.1008 -1.0881 3.9993
-7.6630 -0.8632 7.2242
-10.2251 -0.6384 10.4491
-12.7987 -0.4126 13.6884
```

Summary:
- Total magnetization: 0.000 μB per atom
- Density: 10.1 g/cm3
- Energy of formation: -0.8857 eV/atom
- E_tot: -6.44 eV per atom
- SG: No. 123
- Volume: 17.87 A^3/atom

=====

16.
First-principles (GGA-PBE) data for an optimized crystal structure of YThPd4, as listed in the Alexandria database.

Geometry as POSCAR:
```
YThPd4
1.0
-0.9840 3.7032 -1.7660
-2.8339 -2.7870 -4.2652
-7.9601 -1.5220 6.2835
Y Th Pd
2 2 8
Cartesian
-5.0071 1.3033 0.4829
-6.7709 -1.9091 -0.2306
-7.8060 -0.4200 3.4687
-3.9720 -0.1859 -3.2164
0.0000 0.0000 0.0000
-1.4170 -1.3935 -2.1326
-2.5259 0.0631 1.5397
-7.9044 0.6565 0.7410
-3.8737 -1.2623 -0.4887
-9.2521 -0.6690 -1.2874
-2.4220 1.2025 -1.1688
-9.3560 -1.8083 1.4211
```

Summary:
- Total magnetization: 0.000 μB per atom
- Energy above the most stable polymorph in this dataset: 0.0 kJ/mol of formula units
- Density: 10.0 g/cm3
- Energy of formation: -0.8951 eV/atom
- E_tot: -6.67 eV per atom
- SG: No. 63
- Volume: 20.57 A^3/atom

=====

17.
First-principles (GGA-PBE) data for an optimized crystal structure of Y3ThPd12, as listed in the Alexandria database.

Geometry as POSCAR:
```
Y3ThPd12
1.0
-0.6187 -3.7228 -1.7525
1.5960 -1.8506 3.3677
-15.0965 -0.6824 6.7793
Y Th Pd
3 1 12
Cartesian
-3.8195 -0.1727 1.7152
-7.5482 -0.3412 3.3896
-11.2770 -0.5098 5.0641
0.0000 0.0000 0.0000
0.4886 -2.7867 0.8076
-3.3015 -2.9580 2.5096
-7.0596 -3.1279 4.1972
-10.8177 -3.2978 5.8848
-2.2112 -1.9474 -0.0222
-5.9790 -2.1177 1.6698
-9.7362 -2.2875 3.3570
-13.5040 -2.4579 5.0490
-1.1039 -1.0113 2.5379
-4.8716 -1.1816 4.2299
-8.6289 -1.3515 5.9171
-12.3966 -1.5218 7.6091
```

Summary:
- Total magnetization: 0.000 μB per atom
- Density: 10.3 g/cm3
- Energy of formation: -0.8934 eV/atom
- E_tot: -6.46 eV per atom
- SG: No. 123
- Volume: 17.92 A^3/atom

=====

18.
First-principles (GGA-PBE) data for an optimized crystal structure of YThPd6, as listed in the Alexandria database.

Geometry as POSCAR:
```
YThPd6
1.0
4.1760 0.0000 0.0000
0.0000 4.1760 0.0000
0.0000 0.0000 8.3237
Y Th Pd
1 1 6
Cartesian
0.0000 0.0000 0.0000
0.0000 0.0000 4.1619
2.0880 2.0880 0.0000
2.0880 2.0880 4.1619
2.0880 0.0000 2.0762
2.0880 0.0000 6.2476
0.0000 2.0880 2.0762
0.0000 2.0880 6.2476
```

Summary:
- Total magnetization: 0.000 μB per atom
- Density: 11.0 g/cm3
- Energy of formation: -0.9439 eV/atom
- E_tot: -6.57 eV per atom
- SG: No. 123
- Volume: 18.14 A^3/atom

=====

19.
First-principles (GGA-PBE) data for an optimized crystal structure of YTh2Pd, as listed in the Alexandria database.

Geometry as POSCAR:
```
YTh2Pd
1.0
-2.5138 2.6033 0.6152
-1.3675 -0.5251 -3.3658
-5.2955 -5.8372 3.0622
Y Pd Th
1 1 2
Cartesian
-4.5884 -1.8795 0.1558
-1.9407 1.0391 -1.3753
-4.2044 -4.6345 2.4313
-1.0910 -1.2027 0.6309
```

Summary:
- Total magnetization: 0.000 μB per atom
- Energy above the most stable polymorph in this dataset: 48.8 kJ/mol of formula units
- Density: 9.6 g/cm3
- Energy of formation: -0.2671 eV/atom
- E_tot: -6.89 eV per atom
- SG: No. 123
- Volume: 28.48 A^3/atom

=====

20.
First-principles (GGA-PBE) data for an optimized crystal structure of Th3Zn3Pd2, as listed in the Alexandria database.

Geometry as POSCAR:
```
Th3Zn3Pd2
1.0
-1.0625 -1.3148 4.2279
-2.6364 -2.9145 -4.0208
11.3830 -9.9671 -0.2391
Th Zn Pd
6 6 4
Cartesian
1.3011 -7.5445 0.4326
9.6304 -9.4953 -0.5328
-1.9463 -4.7011 0.5008
6.3831 -6.6519 -0.4646
1.3325 -4.2565 1.4631
6.3516 -9.9399 -1.4950
3.9842 -6.1069 1.5540
8.5326 -12.3210 -1.6874
-0.8485 -1.8754 1.6555
3.7000 -8.0895 -1.5859
0.5526 -5.0776 -1.4402
7.1316 -9.1188 1.4083
7.7820 -11.6726 0.7775
3.1841 -5.3975 -0.8783
4.5000 -8.7989 0.8464
-0.0978 -2.5238 -0.8094
```

Summary:
- Total magnetization: 0.000 μB per atom
- Density: 10.4 g/cm3
- Energy of formation: -0.5019 eV/atom
- E_tot: -5.06 eV per atom
- SG: No. 63
- Volume: 22.14 A^3/atom